No. 1
SrS2N2: relaxed, PBE.

```
SrS2N2
1.0
4.792 0.000 0.000
0.000 4.792 0.000
0.000 0.000 6.004
Sr S N
1 2 2
Direct
0.000 0.000 0.000 Sr
0.000 0.000 0.500 S
0.500 0.500 0.500 S
0.000 0.500 0.000 N
0.500 0.000 0.000 N
```

Mass density = 2.17 g/cm3
Raw formation energy = 1.83 eV per atom


No. 2
Sr4S2N: relaxed, PBE.

```
Sr4S2N
1.0
-2.535 2.535 7.531
2.535 -2.535 7.531
2.535 2.535 -7.531
Sr S N
4 2 1
Direct
0.000 0.500 0.500 Sr
0.174 0.174 0.000 Sr
0.500 0.000 0.500 Sr
0.826 0.826 0.000 Sr
0.368 0.368 0.000 S
0.632 0.632 0.000 S
0.000 0.000 0.000 N
```

Mass density = 3.68 g/cm3
Raw formation energy = -1.23 eV per atom


| no. | magnetic moment (μB/atom) | distance to the lowest polymorph of the same formula (eV/atom) |
| --- | --- | --- |
| 1 | 1.074 | 1.130 |
| 2 | 0.000 | 0.063 |